The following is a PBE calculation of crystalline MgU2Si4Pt3 at its relaxed geometry, from Alexandria via LeMat-Bulk.

## Properties
Formation energy (no corrections), meV per atom: -660
VASP energy, eV/atom: -7.06
Space-group type: P-4m2

Cell: 4.1528 4.1528 10.3266 Å, 90.00 90.00 90.00°
Closest atoms and distances in Å follow each position.
Fractional coordinates of all 10 atoms:
1 Mg 0.0000 0.0000 0.0000  4 Si 2.58
2 U 0.0000 0.5000 0.7430  8 Si 3.15-3.26, 6 Pt 3.20-3.37, 2 Mg 3.37
3 U 0.5000 0.0000 0.2570  8 Si 3.15-3.26, 6 Pt 3.20-3.37, 2 Mg 3.37
4 Si 0.0000 0.0000 0.5000  4 Pt 2.42
5 Si 0.0000 0.5000 0.1476  3 Pt 2.40-2.58, 2 Mg 2.58
6 Si 0.5000 0.0000 0.8524  3 Pt 2.40-2.58, 2 Mg 2.58
7 Si 0.5000 0.5000 0.5000  4 Pt 2.42
8 Pt 0.0000 0.5000 0.3798  5 Si 2.40-2.42
9 Pt 0.5000 0.0000 0.6202  5 Si 2.40-2.42
10 Pt 0.5000 0.5000 0.0000  4 Si 2.58

---

The following is a PBE calculation of crystalline MgUSi2Pt2 at its relaxed geometry, from Alexandria via LeMat-Bulk.

## Properties
Formation energy (no corrections), meV per atom: -688
VASP energy, eV/atom: -6.66
Space-group type: P-3m1

Cell: 4.2723 4.2723 6.6097 Å, 90.00 90.00 120.00°
Closest atoms and distances in Å follow each position.
Fractional coordinates of all 6 atoms:
1 Mg 0.0000 0.0000 0.0000  6 Pt 2.85, 6 Si 2.87
2 U 0.0000 0.0000 0.5000  6 Si 3.08, 6 Pt 3.10, 2 Mg 3.30
3 Si 0.3333 0.6667 0.2210  3 Pt 2.47
4 Si 0.6667 0.3333 0.7790  3 Pt 2.47
5 Pt 0.3333 0.6667 0.7834  3 Si 2.47
6 Pt 0.6667 0.3333 0.2166  3 Si 2.47

---

The following is a PBE calculation of crystalline MgU2Si3Pt4 at its relaxed geometry, from Alexandria via LeMat-Bulk.

## Properties
Formation energy (no corrections), meV per atom: -716
VASP energy, eV/atom: -7.18
Space-group type: P-4m2

Cell: 4.0497 4.0497 10.9098 Å, 90.00 90.00 90.00°
Closest atoms and distances in Å follow each position.
Fractional coordinates of all 10 atoms:
1 Mg 0.0000 0.0000 0.0000  4 Pt 2.61, 4 Si 2.86
2 U 0.0000 0.5000 0.7425  8 Pt 3.09-3.33, 4 Si 3.11
3 U 0.5000 0.0000 0.2575  8 Pt 3.09-3.33, 4 Si 3.11
4 Si 0.0000 0.5000 0.3688  5 Pt 2.38-2.48
5 Si 0.5000 0.0000 0.6312  5 Pt 2.38-2.48
6 Si 0.5000 0.5000 0.0000  4 Pt 2.61, 4 Mg 2.86
7 Pt 0.0000 0.0000 0.5000  4 Si 2.48
8 Pt 0.0000 0.5000 0.1506  3 Si 2.38-2.61, 2 Mg 2.61
9 Pt 0.5000 0.0000 0.8494  3 Si 2.38-2.61, 2 Mg 2.61
10 Pt 0.5000 0.5000 0.5000  4 Si 2.48

---

The following is a PBE calculation of crystalline MgVSiPt2 at its relaxed geometry, from Alexandria via LeMat-Bulk.

## Properties
Formation energy (no corrections), meV per atom: 1142
VASP energy, eV/atom: -4.50
Space-group type: P4/mmm

Cell: 4.5707 4.5707 4.5980 Å, 90.00 90.00 90.00°
Closest atoms and distances in Å follow each position.
Fractional coordinates of all 5 atoms:
1 Mg 0.0000 0.0000 0.0000  4 Pt 2.29, 2 Si 2.30
2 V 0.5000 0.5000 0.5000  4 Si 3.23, 8 Pt 3.24
3 Si 0.0000 0.0000 0.5000  2 Mg 2.30
4 Pt 0.0000 0.5000 0.0000  2 Mg 2.29
5 Pt 0.5000 0.0000 0.0000  2 Mg 2.29

---

The following is a PBE calculation of crystalline YMgSi2Pt5 at its relaxed geometry, from Alexandria via LeMat-Bulk.

## Properties
Formation energy (no corrections), meV per atom: -896
VASP energy, eV/atom: -6.35
Space-group type: P4/mmm

Cell: 4.1381 4.1381 8.9508 Å, 90.00 90.00 90.00°
Closest atoms and distances in Å follow each position.
Fractional coordinates of all 9 atoms:
1 Y 0.0000 0.0000 0.0000  12 Pt 2.93-2.98
2 Mg 0.0000 0.0000 0.5000  8 Pt 3.12, 8 Si 3.14
3 Si 0.5000 0.5000 0.3727  1 Si 2.28, 4 Pt 2.39
4 Si 0.5000 0.5000 0.6273  1 Si 2.28, 4 Pt 2.39
5 Pt 0.0000 0.5000 0.2397  2 Si 2.39
6 Pt 0.0000 0.5000 0.7603  2 Si 2.39
7 Pt 0.5000 0.0000 0.2397  2 Si 2.39
8 Pt 0.5000 0.0000 0.7603  2 Si 2.39
9 Pt 0.5000 0.5000 0.0000  4 Y 2.93, 8 Pt 2.98

---

The following is a PBE calculation of crystalline Y2MgSi3Pt12 at its relaxed geometry, from Alexandria via LeMat-Bulk.

## Properties
Formation energy (no corrections), meV per atom: -541
VASP energy, eV/atom: -6.28
Space-group type: R-3m

Cell: 7.4931 7.4931 7.4931 Å, 67.49 67.49 67.49°
Closest atoms and distances in Å follow each position.
Fractional coordinates of all 18 atoms:
1 Y 0.1061 0.1061 0.1061  6 Pt 2.82-2.87
2 Y 0.8939 0.8939 0.8939  6 Pt 2.82-2.87
3 Mg 0.5000 0.5000 0.5000  6 Pt 2.56
4 Si 0.0000 0.5000 0.5000  6 Pt 2.31-2.39
5 Si 0.5000 0.0000 0.5000  6 Pt 2.31-2.39
6 Si 0.5000 0.5000 0.0000  6 Pt 2.31-2.39
7 Pt 0.1213 0.6404 0.6404  1 Si 2.31, 1 Mg 2.56
8 Pt 0.1451 0.1451 0.6040  2 Si 2.39
9 Pt 0.1451 0.6040 0.1451  2 Si 2.39
10 Pt 0.3596 0.3596 0.8787  1 Si 2.31, 1 Mg 2.56
11 Pt 0.3596 0.8787 0.3596  1 Si 2.31, 1 Mg 2.56
12 Pt 0.3960 0.8549 0.8549  2 Si 2.39
13 Pt 0.6040 0.1451 0.1451  2 Si 2.39
14 Pt 0.6404 0.1213 0.6404  1 Si 2.31, 1 Mg 2.56
15 Pt 0.6404 0.6404 0.1213  1 Si 2.31, 1 Mg 2.56
16 Pt 0.8549 0.3960 0.8549  2 Si 2.39
17 Pt 0.8549 0.8549 0.3960  2 Si 2.39
18 Pt 0.8787 0.3596 0.3596  1 Si 2.31, 1 Mg 2.56

---

The following is a PBE calculation of crystalline Mg2ZnSiPt2 at its relaxed geometry, from Alexandria via LeMat-Bulk.

## Properties
Formation energy (no corrections), meV per atom: -638
VASP energy, eV/atom: -4.30
Space-group type: Ibam

Cell: 8.1275 8.1275 8.1275 Å, 141.29 55.18 142.25°
Closest atoms and distances in Å follow each position.
Fractional coordinates of all 12 atoms:
1 Mg 0.1869 0.1918 0.3788  5 Pt 2.81-2.91
2 Mg 0.3131 0.6918 0.0049  5 Pt 2.81-2.91
3 Mg 0.6869 0.3082 0.9951  5 Pt 2.81-2.91
4 Mg 0.8131 0.8082 0.6212  5 Pt 2.81-2.91
5 Zn 0.2500 0.2500 0.0000  2 Zn 2.63, 2 Si 2.69, 4 Pt 2.69
6 Zn 0.7500 0.7500 0.0000  2 Zn 2.63, 2 Si 2.69, 4 Pt 2.69
7 Si 0.2500 0.7500 0.5000  4 Pt 2.40, 2 Si 2.63
8 Si 0.7500 0.2500 0.5000  4 Pt 2.40, 2 Si 2.63
9 Pt 0.1182 0.6988 0.8169  2 Si 2.40
10 Pt 0.3818 0.1988 0.5806  2 Si 2.40
11 Pt 0.6182 0.8012 0.4194  2 Si 2.40
12 Pt 0.8818 0.3012 0.1831  2 Si 2.40

---

The following is a PBE calculation of crystalline MgZnSi2Pt at its relaxed geometry, from Alexandria via LeMat-Bulk.

## Properties
Formation energy (no corrections), meV per atom: 174
VASP energy, eV/atom: -3.78
Space-group type: P4/mmm

Cell: 4.6529 4.6529 5.0709 Å, 90.00 90.00 90.00°
Closest atoms and distances in Å follow each position.
Fractional coordinates of all 5 atoms:
1 Mg 0.0000 0.0000 0.0000  2 Pt 2.54
2 Zn 0.5000 0.5000 0.0000  4 Mg 3.29, 8 Si 3.44
3 Si 0.0000 0.5000 0.5000  2 Pt 2.33
4 Si 0.5000 0.0000 0.5000  2 Pt 2.33
5 Pt 0.0000 0.0000 0.5000  4 Si 2.33, 2 Mg 2.54

---

The following is a PBE calculation of crystalline Mg2ZnSi2Pt5 at its relaxed geometry, from Alexandria via LeMat-Bulk.

## Properties
Formation energy (no corrections), meV per atom: -673
VASP energy, eV/atom: -5.22
Space-group type: P4/mbm

Cell: 9.3855 9.3855 3.5834 Å, 90.00 90.00 90.00°
Closest atoms and distances in Å follow each position.
Fractional coordinates of all 20 atoms:
1 Mg 0.1704 0.3296 0.0000  3 Si 2.64-2.85, 2 Pt 2.89
2 Mg 0.3296 0.8296 0.0000  3 Si 2.64-2.85, 2 Pt 2.89
3 Mg 0.6704 0.1704 0.0000  3 Si 2.64-2.85, 2 Pt 2.89
4 Mg 0.8296 0.6704 0.0000  3 Si 2.64-2.85, 2 Pt 2.89
5 Zn 0.0000 0.0000 0.0000  8 Pt 2.70
6 Zn 0.5000 0.5000 0.0000  8 Pt 2.70
7 Si 0.1303 0.6303 0.0000  6 Pt 2.44-2.49, 1 Mg 2.64
8 Si 0.3697 0.1303 0.0000  6 Pt 2.44-2.49, 1 Mg 2.64
9 Si 0.6303 0.8697 0.0000  6 Pt 2.44-2.49, 1 Mg 2.64
10 Si 0.8697 0.3697 0.0000  6 Pt 2.44-2.49, 1 Mg 2.64
11 Pt 0.0000 0.5000 0.5000  4 Si 2.49
12 Pt 0.0750 0.7978 0.5000  2 Si 2.44, 2 Zn 2.70
13 Pt 0.2022 0.0750 0.5000  2 Si 2.44, 2 Zn 2.70
14 Pt 0.2978 0.5750 0.5000  2 Si 2.44, 2 Zn 2.70
15 Pt 0.4250 0.2978 0.5000  2 Si 2.44, 2 Zn 2.70
16 Pt 0.5000 0.0000 0.5000  4 Si 2.49
17 Pt 0.5750 0.7022 0.5000  2 Si 2.44, 2 Zn 2.70
18 Pt 0.7022 0.4250 0.5000  2 Si 2.44, 2 Zn 2.70
19 Pt 0.7978 0.9250 0.5000  2 Si 2.44, 2 Zn 2.70
20 Pt 0.9250 0.2022 0.5000  2 Si 2.44, 2 Zn 2.70

---

The following is a PBE calculation of crystalline SmMg2Pt2 at its relaxed geometry, from Alexandria via LeMat-Bulk.

## Properties
ΔE to the lowest computed polymorph, meV per atom: 36.6
VASP energy, eV/atom: -4.85
Space-group type: P2_1/m

Cell: 5.1249 4.7604 8.6239 Å, 90.00 100.51 90.00°
Closest atoms and distances in Å follow each position.
Fractional coordinates of all 10 atoms:
1 Sm 0.1680 0.2500 0.2851  7 Pt 3.03-3.24, 2 Mg 3.18-3.20
2 Sm 0.8320 0.7500 0.7149  7 Pt 3.03-3.24, 2 Mg 3.18-3.20
3 Mg 0.2858 0.2500 0.6604  4 Pt 2.62-2.79
4 Mg 0.3560 0.7500 0.9809  4 Pt 2.66-2.69, 2 Mg 2.79
5 Mg 0.6440 0.2500 0.0191  4 Pt 2.66-2.69, 2 Mg 2.79
6 Mg 0.7142 0.7500 0.3396  4 Pt 2.62-2.79
7 Pt 0.1133 0.2500 0.9284  5 Mg 2.62-2.69
8 Pt 0.2920 0.7500 0.5029  4 Mg 2.74-3.04, 3 Sm 3.03
9 Pt 0.7080 0.2500 0.4971  4 Mg 2.74-3.04, 3 Sm 3.03
10 Pt 0.8867 0.7500 0.0716  5 Mg 2.62-2.69